VASP calculation (GGA-PBE) on a relaxed structure of ThSi3Ru.

**N(E_F)**: 1.65 states/eV/cell
**Total magnetization**: 0.0 μB/cell
**Calculated total energy**: -36.68 eV per cell
**Formation energy (no corrections)**: -3.71 eV/f.u.

Lattice parameters (Å, degrees): 4.2386 4.2386 5.7906 111.39 111.39 90.04
With the nearest neighbours (Å) after each atom.
Fractional positions:
Si  0.9974  0.9974  0.9950  1 Ru 2.36, 4 Si 2.61-2.62
Si  0.8436  0.3432  0.6868  2 Ru 2.38, 2 Si 2.61-2.62
Si  0.3432  0.8436  0.6868  2 Ru 2.38, 2 Si 2.61-2.62
Ru  0.2355  0.2355  0.4699  5 Si 2.36-2.38
Th  0.5756  0.5756  0.1517  12 Si 3.10-3.40, 5 Ru 3.38-3.39